No. 1
Entry from Alexandria: crystalline La3Hg5Pb at its relaxed geometry (GGA-PBE).

DOS(E_F) (states/eV/f.u.): 5.69
Volume (Å³/cell): 508.4
Final energy (Ha/atom): -0.1001
ΔE_f (meV per atom): -502

Cell: 9.3512 9.3512 6.7131 Å, 90.00 90.00 120.00°
Last column: nearest neighbours and their distance in Å.
Space group P6_3/mcm (No. 193)
Unique sites:
La1 0.0000 0.3335 0.2500 (multiplicity 6)  5 Hg 3.07-3.36
Hg1 0.0000 0.3384 0.7500 (multiplicity 6)  5 La 3.07-3.36
Hg2 0.3333 0.6667 0.0000 (multiplicity 4)  8 Hg 3.36-3.52, 6 La 3.54
Pb1 0.0000 0.0000 0.0000 (multiplicity 2)  2 Pb 3.36, 6 La 3.54, 6 Hg 3.58

=====

No. 2
Entry from Alexandria: crystalline TbPm6Tm2 at its relaxed geometry (GGA-PBE).

DOS(E_F) (states/eV/f.u.): 12.17
Volume (Å³/cell): 1194.2
Final energy (Ha/atom): -0.1692
ΔE_f (meV per atom): 72

Cell: 13.5955 11.8678 9.1224 Å, 90.00 125.77 90.00°
Last column: nearest neighbours and their distance in Å.
Space group C2/c (No. 15)
Unique sites:
Tb1 0.0000 0.1686 0.2500 (multiplicity 4)  4 Tm 3.41-3.67, 8 Pm 3.52-3.78
Pm1 0.0211 0.3694 0.9479 (multiplicity 8)  4 Pm 3.21-3.43, 2 Tm 3.50-3.57
Pm2 0.1121 0.0850 0.6993 (multiplicity 8)  7 Pm 3.47-3.77, 2 Tb 3.52-3.58, 2 Tm 3.55-3.66
Pm3 0.2142 0.1677 0.1407 (multiplicity 8)  5 Pm 3.21-3.55, 1 Tm 3.51, 1 Tb 3.59
Tm1 0.1795 0.4027 0.4155 (multiplicity 8)  2 Tb 3.41-3.67, 7 Pm 3.50-3.66

=====

No. 3
Entry from Alexandria: crystalline SrSb2Ir at its relaxed geometry (GGA-PBE).

DOS(E_F) (states/eV/f.u.): 1.56
Volume (Å³/cell): 814.2
Energy relative to the elements, uncorrected (meV/atom): -609
Final energy (Ha/atom): -0.1950

Cell: 4.8021 9.5174 17.8137 Å, 90.00 90.00 90.00°
Last column: nearest neighbours and their distance in Å.
Space group Immm (No. 71)
Unique sites:
Sr1 0.0000 0.0000 0.2046 (multiplicity 4)  8 Sb 3.21-3.32, 6 Ir 3.46-3.52
Sr2 0.0000 0.2434 0.0000 (multiplicity 4)  4 Ir 3.64, 10 Sb 3.64-3.72
Sb1 0.0000 0.0000 0.4187 (multiplicity 4)  2 Ir 2.68, 1 Sb 2.90
Sb2 0.0000 0.3373 0.2008 (multiplicity 8)  3 Ir 2.67-2.74
Sb3 0.0000 0.5000 0.4183 (multiplicity 4)  2 Ir 2.72, 1 Sb 2.91
Ir1 0.0000 0.2470 0.3468 (multiplicity 8)  5 Sb 2.67-2.74

=====

No. 4
Entry from Alexandria: crystalline LaTbCuAg at its relaxed geometry (GGA-PBE).

DOS(E_F) (states/eV/f.u.): 4.16
Volume (Å³/cell): 396.5
Distance to the lowest polymorph of the same formula (eV/atom): 0.041
Final energy (Ha/atom): -0.1588
ΔE_f (meV per atom): -196

Cell: 7.3463 7.3463 7.3463 Å, 90.00 90.00 90.00°
Last column: nearest neighbours and their distance in Å.
Space group F-43m (No. 216)
Unique sites:
La1 0.0000 0.0000 0.0000 (multiplicity 4)  4 Cu 3.18, 4 Ag 3.18
Tb1 0.0000 0.0000 0.5000 (multiplicity 4)  4 Ag 3.18, 4 Cu 3.18
Cu1 0.2500 0.2500 0.7500 (multiplicity 4)  4 Tb 3.18, 4 La 3.18
Ag1 0.2500 0.2500 0.2500 (multiplicity 4)  4 Tb 3.18, 4 La 3.18

=====

Look up the final energy of the second one. -0.1692 Ha/atom

=====

Number 4 is which compound? LaTbCuAg

=====

Which formula does entry 2 have? TbPm6Tm2